The following is a DFT calculation (PBE-GGA) of crystalline LiFe2Co at its relaxed geometry.

a = 4.3775 Å, b = 4.3775 Å, c = 4.5998 Å
α = 95.93°, β = 95.93°, γ = 32.27°
Sites, in units of the cell vectors:
Li  0.0000  0.0000  0.0000
Fe  0.5011  0.5011  0.5048
Fe  0.7550  0.7550  0.2450
Co  0.2482  0.2482  0.7440

Values from the calculation:
For the total energy, the calculation gives -6.32 eV/atom. The excess energy over the best structure of this formula in the dataset comes out at 62 meV per atom. The calculation puts the formation energy at 0.171 eV/atom.